Entry 1:
KNiOs | PBE | optimized geometry

Lattice parameters (Å, degrees): 4.4997 4.4997 4.4997 60.00 60.00 60.00
Each line ends with the local moment (μB).
Atoms (fractional coordinates):
1 K 0.5000 0.5000 0.5000  0.00
2 Ni 0.7500 0.7500 0.7500  0.95
3 Os 0.0000 0.0000 0.0000  2.05

Output
- space-group type = F-43m
- energy relative to the elements (eV/atom) = 1.85
- magnetic moment (μB per atom) = 1.042
- E above lowest polymorph (eV/atom) = 1.1668


Entry 2:
BaFeP2W | PBE | optimized geometry

Lattice parameters (Å, degrees): 3.8959 3.8959 7.1890 105.72 105.72 90.00
Each line ends with the local moment (μB).
Atoms (fractional coordinates):
1 Ba 0.0000 0.0000 0.0000  -0.03
2 Fe 0.7500 0.2500 0.5000  1.98
3 P 0.6458 0.6458 0.2916  -0.01
4 P 0.3542 0.3542 0.7084  -0.01
5 W 0.2500 0.7500 0.5000  0.29

Output
- space-group type = I-4m2
- energy relative to the elements (eV/atom) = -0.60
- magnetic moment (μB per atom) = 0.446


Entry 3:
K3HgAu8 | PBE | optimized geometry

Lattice parameters (Å, degrees): 5.7349 5.7349 10.0701 73.46 73.46 60.00
Atoms (fractional coordinates):
1 K 0.3752 0.3752 0.8744
2 K 0.9979 0.9979 0.0062
3 K 0.5021 0.5021 0.4938
4 Hg 0.8734 0.8734 0.3799
5 Au 0.9381 0.4372 0.1876
6 Au 0.4387 0.9375 0.6862
7 Au 0.4372 0.4372 0.1876
8 Au 0.9375 0.9375 0.6862
9 Au 0.1877 0.1877 0.4369
10 Au 0.6876 0.6876 0.9372
11 Au 0.4372 0.9381 0.1876
12 Au 0.9375 0.4387 0.6862

Output
- space-group type = R3m
- energy relative to the elements (eV/atom) = -0.23
- magnetic moment (μB per atom) = 0.000


Entry 4:
CuH2O2 | PBE | optimized geometry

Lattice parameters (Å, degrees): 5.4475 5.4475 5.6789 90.00 90.00 148.49
Each line ends with the local moment (μB).
Atoms (fractional coordinates):
1 Cu 0.8331 0.1669 0.7577  0.62
2 Cu 0.1669 0.8331 0.2577  0.62
3 H 0.4863 0.5137 0.5585  0.00
4 H 0.5137 0.4863 0.0585  0.00
5 H 0.1385 0.8615 0.7891  0.00
6 H 0.8615 0.1385 0.2891  0.00
7 O 0.4600 0.5400 0.7253  0.17
8 O 0.5400 0.4600 0.2253  0.17
9 O 0.2222 0.7778 0.8662  0.17
10 O 0.7778 0.2222 0.3662  0.17

Output
- space-group type = Cmc2_1
- magnetic moment (μB per atom) = 0.201
- E above lowest polymorph (eV/atom) = 0.0000


Entry 5:
PrCuNi10 | PBE | optimized geometry

Lattice parameters (Å, degrees): 4.0180 4.7593 8.3358 90.00 90.00 90.00
Each line ends with the local moment (μB).
Atoms (fractional coordinates):
1 Pr 0.0000 0.5000 0.5000  -0.07
2 Cu 0.0000 0.0000 0.0000  0.03
3 Ni 0.0000 0.0000 0.3037  0.38
4 Ni 0.0000 0.5000 0.8486  0.43
5 Ni 0.0000 0.5000 0.1514  0.43
6 Ni 0.0000 0.0000 0.6963  0.38
7 Ni 0.5000 0.0000 0.5000  0.48
8 Ni 0.5000 0.5000 0.0000  0.54
9 Ni 0.5000 0.2469 0.2412  0.47
10 Ni 0.5000 0.7531 0.7588  0.47
11 Ni 0.5000 0.7531 0.2412  0.47
12 Ni 0.5000 0.2469 0.7588  0.47

Output
- space-group type = Pmmm
- energy relative to the elements (eV/atom) = 0.02
- magnetic moment (μB per atom) = 0.349


Entry 6:
Hf2GePb | PBE | optimized geometry

Lattice parameters (Å, degrees): 7.6655 7.6655 6.2343 52.06 52.06 90.00
Atoms (fractional coordinates):
1 Pb 0.0000 0.0000 0.0000
2 Pb 0.7500 0.2500 0.5000
3 Ge 0.5000 0.5000 0.0000
4 Ge 0.2500 0.7500 0.5000
5 Hf 0.6004 0.1250 0.2500
6 Hf 0.1496 0.6250 0.2500
7 Hf 0.3750 0.3996 0.7500
8 Hf 0.8750 0.8504 0.7500

Output
- space-group type = I-42d
- energy relative to the elements (eV/atom) = -0.04
- magnetic moment (μB per atom) = 0.000
- E above lowest polymorph (eV/atom) = 0.1934


Entry 7:
Rb2SmBr5 | PBE | optimized geometry

Lattice parameters (Å, degrees): 8.8267 9.3464 14.0259 90.00 90.00 90.00
Atoms (fractional coordinates):
1 Rb 0.9309 0.0068 0.8294
2 Rb 0.0691 0.9932 0.1706
3 Rb 0.4309 0.9932 0.6706
4 Rb 0.0691 0.5068 0.1706
5 Rb 0.5691 0.0068 0.3294
6 Rb 0.9309 0.4932 0.8294
7 Rb 0.5691 0.4932 0.3294
8 Rb 0.4309 0.5068 0.6706
9 Sm 0.9271 0.7500 0.5054
10 Sm 0.0729 0.2500 0.4946
11 Sm 0.4271 0.2500 0.9946
12 Sm 0.5729 0.7500 0.0054
13 Br 0.1049 0.7500 0.6796
14 Br 0.8951 0.2500 0.3204
15 Br 0.6049 0.2500 0.8204
16 Br 0.3951 0.7500 0.1796
17 Br 0.8346 0.0451 0.5660
18 Br 0.1654 0.9549 0.4340
19 Br 0.3346 0.9549 0.9340
20 Br 0.1654 0.5451 0.4340
21 Br 0.6654 0.0451 0.0660
22 Br 0.8346 0.4549 0.5660
23 Br 0.6654 0.4549 0.0660
24 Br 0.3346 0.5451 0.9340
25 Br 0.5939 0.7500 0.5124
26 Br 0.4061 0.2500 0.4876
27 Br 0.0939 0.2500 0.9876
28 Br 0.9061 0.7500 0.0124
29 Br 0.6453 0.7500 0.8039
30 Br 0.3547 0.2500 0.1961
31 Br 0.1453 0.2500 0.6961
32 Br 0.8547 0.7500 0.3039

Output
- formation energy from raw total energies (meV/atom) = -1854
- space-group type = Pnma
- magnetic moment (μB per atom) = 0.000
- E above lowest polymorph (eV/atom) = 0.0000


Entry 8:
KBaTlBr6 | PBE | optimized geometry

Lattice parameters (Å, degrees): 7.8255 7.8255 6.8442 90.00 90.00 59.97
Atoms (fractional coordinates):
1 K 0.6665 0.6666 0.5000
2 Ba 0.0000 0.0000 0.0000
3 Tl 0.3333 0.3333 0.5000
4 Br 0.0420 0.3290 0.2614
5 Br 0.3289 0.0420 0.7385
6 Br 0.6290 0.3291 0.7386
7 Br 0.0416 0.6294 0.7383
8 Br 0.3290 0.6290 0.2614
9 Br 0.6294 0.0416 0.2617

Output
- formation energy from raw total energies (meV/atom) = -1280
- space-group type = P312
- magnetic moment (μB per atom) = 0.000